## one
First-principles (GGA-PBE) data for a relaxed structure of Sr2CaAg, as listed in the Alexandria database.

Unit cell a=6.9221 b=6.9221 c=6.9221 alpha=136.63 beta=136.63 gamma=63.01
Closest atoms and distances in Å follow each position.
Sites, in units of the cell vectors:
Sr1 0.0000 0.0000 0.0000  4 Ca 3.62, 4 Sr 3.91, 4 Ag 3.91
Sr2 0.7500 0.2500 0.5000  4 Ag 3.62, 4 Ca 3.91, 4 Sr 3.91
Ca1 0.5000 0.5000 0.0000  8 Sr 3.62-3.91, 4 Ag 3.91
Ag1 0.2500 0.7500 0.5000  8 Sr 3.62-3.91, 4 Ca 3.91

Computed properties:
Its space group is No. 119. As for the spin magnetization: 0.00 μB per formula unit.


## two
First-principles (GGA-PBE) data for a relaxed structure of Sr2CaAg, as listed in the Alexandria database.

Unit cell a=11.0432 b=11.0432 c=11.0432 alpha=22.48 beta=22.48 gamma=22.48
Closest atoms and distances in Å follow each position.
Sites, in units of the cell vectors:
Sr1 0.0000 0.0000 0.0000  3 Ag 3.22
Sr2 0.2074 0.2074 0.2074  3 Ag 3.21
Ca1 0.4375 0.4375 0.4375  6 Sr 4.16-4.18, 6 Ca 4.31
Ag1 0.6035 0.6035 0.6035  6 Sr 3.21-3.22

Computed properties:
Its space group is No. 160. As for the spin magnetization: 0.00 μB per formula unit.


## three
First-principles (GGA-PBE) data for a relaxed structure of Sr2CaAg, as listed in the Alexandria database.

Unit cell a=3.9792 b=3.9792 c=9.8057 alpha=90.00 beta=90.00 gamma=90.00
Closest atoms and distances in Å follow each position.
Sites, in units of the cell vectors:
Sr1 0.0000 0.0000 0.0000  8 Sr 3.98-4.30, 4 Ca 4.07
Sr2 0.5000 0.5000 0.3318  4 Ag 3.46, 1 Ca 3.61
Ca1 0.5000 0.5000 0.6997  4 Ag 3.24, 1 Sr 3.61
Ag1 0.0000 0.0000 0.5365  4 Ca 3.24, 4 Sr 3.46

Computed properties:
Its space group is No. 99. As for the spin magnetization: 0.00 μB per formula unit.


## four
First-principles (GGA-PBE) data for a relaxed structure of Sr2CaAg, as listed in the Alexandria database.

Unit cell a=6.0149 b=6.0149 c=6.0149 alpha=60.00 beta=60.00 gamma=60.00
Closest atoms and distances in Å follow each position.
Sites, in units of the cell vectors:
Sr1 0.2500 0.2500 0.2500  4 Ag 3.68, 4 Ca 3.68
Sr2 0.7500 0.7500 0.7500  4 Ag 3.68, 4 Ca 3.68
Ca1 0.0000 0.0000 0.0000  8 Sr 3.68
Ag1 0.5000 0.5000 0.5000  8 Sr 3.68

Computed properties:
Its space group is No. 225. As for the spin magnetization: 0.00 μB per formula unit.


The data favor three; the next most stable structure lies 78 meV/atom above it.


## one
First-principles (GGA-PBE) data for a relaxed structure of Sr2CaAg, as listed in the Alexandria database.

Unit cell a=3.9771 b=3.9771 c=9.9051 alpha=90.00 beta=90.00 gamma=90.00
Closest atoms and distances in Å follow each position.
Sites, in units of the cell vectors:
Sr1 0.0000 0.0000 0.1939  4 Ag 3.41
Sr2 0.0000 0.0000 0.8061  4 Ag 3.41
Ca1 0.5000 0.5000 0.5000  4 Ca 3.98, 8 Sr 4.14
Ag1 0.5000 0.5000 0.0000  8 Sr 3.41

Computed properties:
Its space group is No. 123. As for the spin magnetization: 0.00 μB per formula unit.


## two
First-principles (GGA-PBE) data for a relaxed structure of Sr2CaAg, as listed in the Alexandria database.

Unit cell a=5.9535 b=5.9535 c=5.9535 alpha=60.00 beta=60.00 gamma=60.00
Closest atoms and distances in Å follow each position.
Sites, in units of the cell vectors:
Sr1 0.0000 0.0000 0.0000  4 Ag 3.65, 4 Sr 3.65
Sr2 0.2500 0.2500 0.2500  4 Ca 3.65, 4 Sr 3.65
Ca1 0.5000 0.5000 0.5000  4 Ag 3.65, 4 Sr 3.65
Ag1 0.7500 0.7500 0.7500  4 Ca 3.65, 4 Sr 3.65

Computed properties:
Its space group is No. 216. As for the spin magnetization: 0.00 μB per formula unit.


## three
First-principles (GGA-PBE) data for a relaxed structure of Sr2CaAg, as listed in the Alexandria database.

Unit cell a=4.6593 b=5.7155 c=5.7352 alpha=90.00 beta=90.00 gamma=90.00
Closest atoms and distances in Å follow each position.
Sites, in units of the cell vectors:
Sr1 0.0000 0.0000 0.0000  4 Ag 3.69, 4 Ca 3.69, 4 Sr 4.05
Sr2 0.0000 0.5000 0.5000  4 Ca 3.69, 4 Ag 3.69, 4 Sr 4.05
Ca1 0.5000 0.0000 0.5000  8 Sr 3.69, 4 Ag 4.05
Ag1 0.5000 0.5000 0.0000  8 Sr 3.69, 4 Ca 4.05

Computed properties:
Its space group is No. 47. As for the spin magnetization: 0.00 μB per formula unit.


The data favor one; the next most stable structure lies 126 meV/atom above it.


## one
First-principles (GGA-PBE) data for a relaxed structure of Sr2CaAg, as listed in the Alexandria database.

Unit cell a=7.8107 b=7.8107 c=7.8107 alpha=101.35 beta=101.35 gamma=127.33
Closest atoms and distances in Å follow each position.
Sites, in units of the cell vectors:
Sr1 0.0444 0.6250 0.9194  2 Ag 3.11
Sr2 0.3750 0.2944 0.4194  2 Ag 3.11
Sr3 0.7056 0.1250 0.0806  2 Ag 3.11
Sr4 0.8750 0.9556 0.5806  2 Ag 3.11
Ca1 0.2500 0.7500 0.5000  2 Ag 3.47
Ca2 0.5000 0.5000 0.0000  2 Ag 3.47
Ag1 0.0000 0.0000 0.0000  4 Sr 3.11, 2 Ca 3.47
Ag2 0.7500 0.2500 0.5000  4 Sr 3.11, 2 Ca 3.47

Computed properties:
Its space group is No. 122. As for the spin magnetization: 0.00 μB per formula unit.


## two
First-principles (GGA-PBE) data for a relaxed structure of Sr2CaAg, as listed in the Alexandria database.

Unit cell a=8.2429 b=10.6078 c=7.3092 alpha=90.00 beta=90.00 gamma=90.00
Closest atoms and distances in Å follow each position.
Sites, in units of the cell vectors:
Sr1 0.1804 0.0632 0.1643  3 Ag 3.34-3.65
Sr2 0.1804 0.4368 0.1643  3 Ag 3.34-3.65
Sr3 0.3196 0.5632 0.6643  3 Ag 3.34-3.65
Sr4 0.3196 0.9368 0.6643  3 Ag 3.34-3.65
Sr5 0.6804 0.0632 0.3357  3 Ag 3.34-3.65
Sr6 0.6804 0.4368 0.3357  3 Ag 3.34-3.65
Sr7 0.8196 0.5632 0.8357  3 Ag 3.34-3.65
Sr8 0.8196 0.9368 0.8357  3 Ag 3.34-3.65
Ca1 0.0382 0.2500 0.6499  2 Ag 3.08-3.10
Ca2 0.4618 0.7500 0.1499  2 Ag 3.08-3.10
Ca3 0.5382 0.2500 0.8501  2 Ag 3.08-3.10
Ca4 0.9618 0.7500 0.3501  2 Ag 3.08-3.10
Ag1 0.1245 0.7500 0.9671  2 Ca 3.08-3.10, 4 Sr 3.34-3.38
Ag2 0.3755 0.2500 0.4671  2 Ca 3.08-3.10, 4 Sr 3.34-3.38
Ag3 0.6245 0.7500 0.5329  2 Ca 3.08-3.10, 4 Sr 3.34-3.38
Ag4 0.8755 0.2500 0.0329  2 Ca 3.08-3.10, 4 Sr 3.34-3.38

Computed properties:
Its space group is No. 62. As for the spin magnetization: 0.00 μB per formula unit.


## three
First-principles (GGA-PBE) data for a relaxed structure of Sr2CaAg, as listed in the Alexandria database.

Unit cell a=7.3652 b=7.3652 c=10.6574 alpha=90.00 beta=90.00 gamma=146.59
Closest atoms and distances in Å follow each position.
Sites, in units of the cell vectors:
Sr1 0.1388 0.8612 0.5640  3 Ag 3.36-3.64
Sr2 0.1388 0.8612 0.9360  3 Ag 3.36-3.64
Sr3 0.8612 0.1388 0.0640  3 Ag 3.36-3.64
Sr4 0.8612 0.1388 0.4360  3 Ag 3.36-3.64
Ca1 0.4222 0.5778 0.7500  2 Ag 3.13
Ca2 0.5778 0.4222 0.2500  2 Ag 3.13
Ag1 0.2410 0.7590 0.2500  2 Ca 3.13, 4 Sr 3.36
Ag2 0.7590 0.2410 0.7500  2 Ca 3.13, 4 Sr 3.36

Computed properties:
Its space group is No. 63. As for the spin magnetization: 0.00 μB per formula unit.


The data favor two; the next most stable structure lies 8 meV/atom above it.